! SmHoPd2 (PBE-GGA, optimized geometry); values from VASP
! energy above the lowest structure with this stoichiometry = 0.0466 eV per atom
! symmetry = No. 225
! VASP energy = -5.76 eV/atom
! N(E_F) = 3.9 states/eV/f.u.
! formation enthalpy at 0 K = -0.84 eV per atom
! ρ = 9.86 g/cm³
&SYSTEM
  ibrav = 0, nat = 4, ntyp = 3
/
ATOMIC_SPECIES
Sm 150.36 Sm.upf
Ho 164.93 Ho.upf
Pd 106.42 Pd.upf
ATOMIC_POSITIONS crystal
Sm 0.000 0.000 0.000
Ho 0.500 0.500 0.500
Pd 0.250 0.250 0.250
Pd 0.750 0.750 0.750
CELL_PARAMETERS angstrom
0.000 3.542 3.542
3.542 0.000 3.542
3.542 3.542 0.000